An optimized crystal structure of VReO4, computed with PBE+U.

The structure in CIF format:
```
data_VReO4
_chemical_formula_sum 'V8 Re8 O32'
_symmetry_space_group_name_H-M 'C m c m'
_symmetry_Int_Tables_number 63
_symmetry_space_group_name_Hall '-C 2c 2'
_cell_length_a 5.789
_cell_length_b 13.672
_cell_length_c 6.639
_cell_angle_alpha 90.00
_cell_angle_beta 90.00
_cell_angle_gamma 90.00
loop_
_atom_site_label
_atom_site_type_symbol
_atom_site_fract_x
_atom_site_fract_y
_atom_site_fract_z
V1 V 0.000 0.117 0.250
V2 V 0.000 0.363 0.750
Re1 Re 0.220 0.376 0.250
O1 O 0.000 0.031 0.750
O2 O 0.000 0.217 0.750
O3 O 0.000 0.264 0.250
O4 O 0.000 0.488 0.250
O5 O 0.245 0.375 0.539
```

ρ: 7.61 g/cm³
Crystal system: orthorhombic
Energy above the lowest structure with this stoichiometry: 8 meV per atom
E_tot: -8.365 eV per atom
M_tot: 16.75 μB per cell